The following is a DFT calculation (PBE) of an optimized crystal structure of Lu2Sc4Ge3C3.

The structure in extended XYZ format:
```
24
Lattice="5.049 -2.913 0.000 5.049 2.913 0.000 -3.392 0.000 14.195" Properties=species:S:1:pos:R:3 pbc="T T T"
Lu 2.520 2.433 8.513
Lu 2.490 2.433 12.780
Lu 4.216 -2.433 1.416
Lu 4.186 -2.433 5.682
Sc 2.514 0.481 1.185
Sc 2.513 0.498 5.913
Sc 0.817 -0.481 8.283
Sc 0.817 -0.498 13.011
Sc 5.889 0.498 1.185
Sc 5.888 0.481 5.913
Sc 4.193 -0.498 8.282
Sc 4.192 -0.481 13.010
Ge -0.267 0.825 10.648
Ge 1.429 -0.825 3.551
Ge 4.201 0.221 3.549
Ge 2.505 -0.221 10.647
Ge 5.276 0.825 10.645
Ge 6.973 -0.825 3.547
C 0.828 1.457 7.098
C 0.823 1.469 14.195
C 4.187 1.469 7.098
C 2.524 -1.457 0.000
C 2.519 -1.469 7.098
C 5.883 -1.469 0.000
```

## Properties
space group = C2/c
M_tot = 0.01 μB per cell

=====

The following is a DFT calculation (PBE) of an optimized crystal structure of Lu4SiGeC2.

The structure in extended XYZ format:
```
8
Lattice="3.486 0.000 0.000 -1.743 3.019 0.000 0.000 0.000 14.525" Properties=species:S:1:pos:R:3 pbc="T T T"
Lu 0.000 0.000 2.302
Lu 0.000 0.000 12.223
Lu 1.743 1.006 4.919
Lu 1.743 1.006 9.606
Si 1.743 1.006 0.000
Ge 0.000 0.000 7.263
C 0.000 2.012 3.620
C 0.000 2.012 10.905
```

## Properties
space group = P-6m2
M_tot = 0.02 μB per cell

=====

The following is a DFT calculation (PBE) of an optimized crystal structure of Lu2Ta4Ge3C3.

The structure in extended XYZ format:
```
24
Lattice="4.886 -2.818 0.000 4.886 2.818 0.000 -3.386 0.000 13.474" Properties=species:S:1:pos:R:3 pbc="T T T"
Lu 2.420 2.369 8.186
Lu 2.273 2.369 12.025
Lu 4.114 -2.369 1.449
Lu 3.966 -2.369 5.288
Ta 2.404 0.443 1.140
Ta 2.379 0.521 5.597
Ta 0.711 -0.443 7.877
Ta 0.685 -0.521 12.334
Ta 5.701 0.521 1.140
Ta 5.675 0.443 5.597
Ta 4.008 -0.521 7.877
Ta 3.982 -0.443 12.334
Ge -0.582 0.642 10.143
Ge 1.111 -0.642 3.405
Ge 2.346 0.096 10.106
Ge 4.040 -0.096 3.369
Ge 5.275 0.642 10.069
Ge 6.968 -0.642 3.332
C 0.750 1.409 6.737
C 4.046 1.368 0.000
C 4.034 1.368 6.737
C 2.443 -1.409 0.000
C 2.352 -1.368 6.737
C 5.727 -1.368 0.000
```

## Properties
space group = C2/c
M_tot = 0.00 μB per cell

=====

The following is a DFT calculation (PBE) of an optimized crystal structure of Lu4TlGeC2.

The structure in extended XYZ format:
```
8
Lattice="3.513 0.000 0.000 -1.757 3.042 0.000 0.000 0.000 15.210" Properties=species:S:1:pos:R:3 pbc="T T T"
Lu 0.000 0.000 2.311
Lu 0.000 0.000 12.899
Lu 1.757 1.014 4.917
Lu 1.757 1.014 10.293
Tl 0.000 0.000 7.605
Ge 1.757 1.014 0.000
C 0.000 2.028 3.634
C 0.000 2.028 11.577
```

## Properties
space group = P-6m2
M_tot = 0.16 μB per cell

=====

The following is a DFT calculation (PBE) of an optimized crystal structure of Y4Lu2Ge3C3.

The structure in extended XYZ format:
```
24
Lattice="5.353 -3.082 0.000 5.353 3.082 0.000 -3.552 0.000 15.064" Properties=species:S:1:pos:R:3 pbc="T T T"
Y 0.895 0.511 1.345
Y 0.903 0.512 6.184
Y -0.881 -0.511 8.877
Y -0.874 -0.512 13.716
Y 8.027 0.512 1.348
Y 8.034 0.511 6.186
Y 6.251 -0.512 8.880
Y 6.258 -0.511 13.718
Lu 4.465 0.503 1.338
Lu 4.465 0.503 6.194
Lu 2.689 -0.503 8.870
Lu 2.689 -0.503 13.726
Ge 2.689 2.958 11.298
Ge 0.521 0.755 11.298
Ge 2.297 -0.755 3.766
Ge 4.856 0.755 11.298
Ge 6.632 -0.755 3.766
Ge 4.465 -2.958 3.766
C 2.676 1.541 0.000
C 2.729 1.470 7.523
C 6.201 1.470 0.009
C 0.900 -1.541 7.532
C 0.952 -1.470 15.055
C 4.425 -1.470 7.541
```

## Properties
space group = C2/c
M_tot = 0.02 μB per cell

=====

The following is a DFT calculation (PBE) of an optimized crystal structure of Lu4ZnGeC2.

The structure in extended XYZ format:
```
8
Lattice="3.507 0.000 0.000 -1.753 3.037 0.000 0.000 0.000 14.596" Properties=species:S:1:pos:R:3 pbc="T T T"
Lu 0.000 0.000 2.310
Lu 0.000 0.000 12.286
Lu 0.000 2.025 4.924
Lu 0.000 2.025 9.672
Zn 0.000 0.000 7.298
Ge 0.000 2.025 0.000
C 1.753 1.012 3.641
C 1.753 1.012 10.955
```

## Properties
space group = P-6m2
M_tot = 1.06 μB per cell

=====

The following is a DFT calculation (PBE) of an optimized crystal structure of Lu2Zr4Ge3C3.

The structure in extended XYZ format:
```
24
Lattice="5.088 -2.938 0.000 5.088 2.938 0.000 -3.398 0.000 13.969" Properties=species:S:1:pos:R:3 pbc="T T T"
Lu 2.556 2.457 8.390
Lu 2.522 2.457 12.564
Lu 4.255 -2.457 1.405
Lu 4.221 -2.457 5.580
Zr 2.522 0.479 1.235
Zr 2.541 0.511 5.749
Zr 0.823 -0.479 8.220
Zr 0.842 -0.511 12.734
Zr 5.935 0.511 1.235
Zr 5.954 0.479 5.749
Zr 4.236 -0.511 8.220
Zr 4.255 -0.479 12.734
Ge -0.621 0.635 10.489
Ge 1.078 -0.635 3.505
Ge 2.539 0.216 10.477
Ge 4.238 -0.216 3.492
Ge 5.699 0.635 10.464
Ge 7.398 -0.635 3.480
C 0.845 1.469 6.985
C 4.220 1.435 0.000
C 4.256 1.435 6.985
C 2.544 -1.469 0.000
C 2.521 -1.435 6.985
C 5.955 -1.435 0.000
```

## Properties
space group = C2/c
M_tot = 0.01 μB per cell

=====

The following is a DFT calculation (PBE) of an optimized crystal structure of Lu4Zr2Ge3C3.

The structure in extended XYZ format:
```
24
Lattice="5.170 -2.980 0.000 5.170 2.980 0.000 -3.531 0.000 14.233" Properties=species:S:1:pos:R:3 pbc="T T T"
Lu 0.863 0.466 1.375
Lu 0.795 0.514 5.744
Lu -0.902 -0.466 8.491
Lu -0.970 -0.514 12.861
Lu 7.780 0.514 1.373
Lu 7.712 0.466 5.742
Lu 6.015 -0.514 8.489
Lu 5.946 -0.466 12.859
Zr 4.280 0.513 1.164
Zr 4.295 0.513 5.952
Zr 2.514 -0.513 8.281
Zr 2.530 -0.513 13.069
Ge 4.288 2.153 3.558
Ge 1.113 0.338 10.691
Ge 2.878 -0.338 3.574
Ge 3.931 0.338 10.660
Ge 5.697 -0.338 3.543
Ge 2.522 -2.153 10.675
C 2.585 1.490 0.000
C 2.576 1.436 7.117
C 5.999 1.436 0.000
C 0.820 -1.490 7.117
C 4.341 -1.436 0.000
C 4.234 -1.436 7.117
```

## Properties
space group = C2/c
M_tot = 0.00 μB per cell

=====

The following is a DFT calculation (PBE) of an optimized crystal structure of Ge2MoC.

The structure in extended XYZ format:
```
8
Lattice="2.997 0.000 0.000 -1.499 2.596 0.000 0.000 0.000 13.547" Properties=species:S:1:pos:R:3 pbc="T T T"
Ge 0.000 1.730 1.281
Ge 0.000 1.730 5.492
Ge 1.499 0.865 8.055
Ge 1.499 0.865 12.265
Mo 0.000 1.730 10.160
Mo 1.499 0.865 3.387
C 0.000 0.000 0.000
C 0.000 0.000 6.773
```

## Properties
space group = P6_3/mmc
M_tot = 0.03 μB per cell

=====

The following is a DFT calculation (PBE) of an optimized crystal structure of GeMo3C.

The structure in extended XYZ format:
```
5
Lattice="4.144 0.000 0.000 0.000 4.144 0.000 0.000 0.000 4.144" Properties=species:S:1:pos:R:3 pbc="T T T"
Ge 0.000 0.000 0.000
Mo 0.000 2.072 2.072
Mo 2.072 0.000 2.072
Mo 2.072 2.072 0.000
C 2.072 2.072 2.072
```

## Properties
space group = Pm-3m
M_tot = 0.00 μB per cell

=====

The following is a DFT calculation (PBE) of an optimized crystal structure of GeMo2C.

The structure in extended XYZ format:
```
8
Lattice="3.137 0.000 0.000 -1.568 2.716 0.000 0.000 0.000 12.670" Properties=species:S:1:pos:R:3 pbc="T T T"
Ge 0.000 1.811 3.168
Ge 1.568 0.905 9.503
Mo 0.000 1.811 7.466
Mo 0.000 1.811 11.539
Mo 1.568 0.905 1.131
Mo 1.568 0.905 5.204
C 0.000 0.000 0.000
C 0.000 0.000 6.335
```

## Properties
space group = P6_3/mmc
M_tot = 0.01 μB per cell

=====

The following is a DFT calculation (PBE) of an optimized crystal structure of GeMo2C.

The structure in extended XYZ format:
```
24
Lattice="4.710 -2.715 0.000 4.710 2.715 0.000 -3.135 0.000 12.652" Properties=species:S:1:pos:R:3 pbc="T T T"
Ge 2.359 2.238 9.489
Ge 2.394 0.417 3.161
Ge 0.826 -0.417 9.487
Ge 5.459 0.417 3.165
Ge 3.891 -0.417 9.491
Ge 3.926 -2.238 3.163
Mo -0.780 0.444 7.470
Mo -0.788 0.462 11.508
Mo 0.787 -0.444 1.144
Mo 0.779 -0.462 5.182
Mo 2.349 0.460 7.434
Mo 2.369 0.460 11.545
Mo 3.916 -0.460 1.108
Mo 3.936 -0.460 5.218
Mo 5.506 0.462 7.470
Mo 5.498 0.444 11.508
Mo 7.073 -0.462 1.144
Mo 7.065 -0.444 5.182
C 0.788 1.357 6.326
C 3.922 1.364 0.001
C 3.930 1.364 6.326
C 2.355 -1.357 0.000
C 2.355 -1.364 6.327
C 2.363 -1.364 12.652
```

## Properties
space group = C2/c
M_tot = 0.02 μB per cell

=====

For the records above, the corresponding E_tot values read -6.968 -6.323 -8.745 -5.946 -6.853 -5.734 -7.811 -7.076 -6.595 -9.104 -8.952 -8.951 eV per atom.